Compound: CrNi6Pt8
Source: the Alexandria database
Functional: PBE-GGA
Structure: relaxed

Lattice parameters (Å, degrees): 9.504 9.504 2.750 90.00 90.00 120.00
Fractional positions:
Cr 0.000 0.000 0.000
Ni 0.090 0.478 0.754
Ni 0.388 0.910 0.754
Ni 0.478 0.388 0.246
Ni 0.522 0.612 0.754
Ni 0.612 0.090 0.246
Ni 0.910 0.522 0.246
Pt 0.082 0.785 0.738
Pt 0.215 0.298 0.738
Pt 0.298 0.082 0.262
Pt 0.333 0.667 0.254
Pt 0.667 0.333 0.746
Pt 0.702 0.918 0.738
Pt 0.785 0.702 0.262
Pt 0.918 0.215 0.262

Summary:
The calculation puts the spin magnetization at 9.9 μB per formula unit. The density of states at the Fermi level comes out at 1.624 states/eV/atom. The formation energy is 1.38 eV per formula unit. The value obtained for the volume is 14.343 Å³ per atom. Its crystal system is trigonal. The symmetry is P-3 (147).

***

Compound: CrNiPt14
Source: the Alexandria database
Functional: PBE-GGA
Structure: relaxed

Lattice parameters (Å, degrees): 5.600 5.600 7.793 90.00 90.00 90.00
Fractional positions:
Cr 0.000 0.000 0.000
Ni 0.500 0.500 0.000
Pt 0.000 0.000 0.500
Pt 0.000 0.500 0.000
Pt 0.000 0.500 0.500
Pt 0.249 0.249 0.241
Pt 0.249 0.249 0.759
Pt 0.249 0.751 0.241
Pt 0.249 0.751 0.759
Pt 0.500 0.000 0.000
Pt 0.500 0.000 0.500
Pt 0.500 0.500 0.500
Pt 0.751 0.249 0.241
Pt 0.751 0.249 0.759
Pt 0.751 0.751 0.241
Pt 0.751 0.751 0.759

Summary:
The calculation puts the spin magnetization at 3.7 μB per formula unit. The density of states at the Fermi level comes out at 1.665 states/eV/atom. The formation energy is -1.46 eV per formula unit. The value obtained for the volume is 15.274 Å³ per atom. Its crystal system is tetragonal. The symmetry is P4/mmm (123).

***

Compound: CrNi4Pt2
Source: the Alexandria database
Functional: PBE-GGA
Structure: relaxed

Lattice parameters (Å, degrees): 6.663 6.663 4.304 90.00 90.00 90.00
Fractional positions:
Cr 0.000 0.000 0.000
Cr 0.500 0.500 0.500
Ni 0.110 0.369 0.000
Ni 0.131 0.610 0.500
Ni 0.369 0.110 0.000
Ni 0.390 0.869 0.500
Ni 0.610 0.131 0.500
Ni 0.631 0.890 0.000
Ni 0.869 0.390 0.500
Ni 0.890 0.631 0.000
Pt 0.207 0.207 0.500
Pt 0.293 0.707 0.000
Pt 0.707 0.293 0.000
Pt 0.793 0.793 0.500

Summary:
The calculation puts the spin magnetization at 5.1 μB per formula unit. The density of states at the Fermi level comes out at 1.688 states/eV/atom. The formation energy is 0.77 eV per formula unit. The value obtained for the volume is 13.649 Å³ per atom. Its crystal system is tetragonal. The symmetry is P4_2/mnm (136).

***

Compound: Cr2Ni4Pt3
Source: the Alexandria database
Functional: PBE-GGA
Structure: relaxed

Lattice parameters (Å, degrees): 4.533 6.990 7.929 71.42 83.72 78.37
Fractional positions:
Cr 0.153 0.471 0.235
Cr 0.263 0.239 0.998
Cr 0.737 0.761 0.002
Cr 0.847 0.529 0.765
Ni 0.082 0.087 0.327
Ni 0.187 0.856 0.109
Ni 0.413 0.415 0.671
Ni 0.480 0.807 0.556
Ni 0.520 0.193 0.444
Ni 0.587 0.585 0.329
Ni 0.813 0.144 0.891
Ni 0.918 0.913 0.673
Pt 0.042 0.699 0.447
Pt 0.285 0.631 0.891
Pt 0.372 0.029 0.780
Pt 0.628 0.971 0.220
Pt 0.715 0.369 0.109
Pt 0.958 0.301 0.553

Summary:
The calculation puts the spin magnetization at 4.6 μB per formula unit. The density of states at the Fermi level comes out at 1.587 states/eV/atom. The formation energy is -0.86 eV per formula unit. The value obtained for the volume is 12.942 Å³ per atom. Its crystal system is triclinic. The symmetry is P-1 (2).

***

Question: Which value of volume does entry 3 give?
Answer: 13.649 Å³ per atom